This record from Alexandria describes LiYTe2 after structural relaxation. The functional is PBE-GGA.

Values from the calculation:
For the electronic total energy, the calculation gives -4.842 eV per atom. As for the crystal system: monoclinic. Its formation energy (no corrections) is -1.18 eV/atom. The total magnetization is 0.00 μB/f.u.

a = 11.3123 Å, b = 11.5259 Å, c = 15.7557 Å
α = 90.00°, β = 110.34°, γ = 90.00°
With the nearest neighbours (Å) after each atom.
Space group C2/c (No. 15)
Symmetry-distinct sites (fractional):
Li 0.0828 0.1401 0.1394 x8  5 Te 2.81-3.07
Li 0.2465 0.0958 0.7438 x8  6 Te 3.00-3.11
Y 0.0651 0.4927 0.8767 x8  5 Te 2.95-3.20
Y 0.0727 0.1552 0.9100 x8  5 Te 2.92-3.22
Te 0.0000 0.0062 0.7500 x4  4 Li 2.81-3.01, 2 Y 2.92
Te 0.0000 0.3101 0.2500 x4  2 Y 2.95, 4 Li 2.98-3.04
Te 0.1287 0.3523 0.0507 x8  2 Li 2.95-3.11, 3 Y 3.05-3.22
Te 0.1573 0.3414 0.7416 x8  3 Li 2.89-3.11, 2 Y 3.10-3.20
Te 0.1591 0.0628 0.5428 x8  3 Li 3.00-3.33, 3 Y 3.04-3.20